#1
A plane-wave DFT calculation with SCAN was carried out for a PBEsol-optimized structure of Li2CoMo.

Cell lengths 2.5457, 3.8152, 5.5947 Å; angles 90.00, 101.23, 90.00 degrees
Atoms (fractional coordinates):
1 Li 0.0000 0.0000 0.0000
2 Li 0.4754 0.5000 0.7812
3 Co 0.1465 0.0000 0.4882
4 Mo 0.6047 0.5000 0.3224

=====

#2
A plane-wave DFT calculation with SCAN was carried out for a PBEsol-optimized structure of Li2CoMo.

Cell lengths 2.4572, 2.4572, 8.7581 Å; angles 90.00, 90.00, 90.00 degrees
Atoms (fractional coordinates):
1 Li 0.0000 0.0000 0.2293
2 Li 0.0000 0.0000 0.7707
3 Co 0.5000 0.5000 0.0000
4 Mo 0.5000 0.5000 0.5000

=====

Most stable structure, least stable structure: #1, #2.

=====

#1
A plane-wave DFT calculation with SCAN was carried out for a PBEsol-optimized structure of Li2CoMo.

Cell lengths 2.5675, 3.6518, 5.7640 Å; angles 90.00, 90.00, 90.00 degrees
Atoms (fractional coordinates):
1 Li 0.0000 0.0000 0.0000
2 Li 0.5000 0.5000 0.2383
3 Co 0.5000 0.5000 0.7204
4 Mo 0.0000 0.0000 0.5455

=====

#2
A plane-wave DFT calculation with SCAN was carried out for a PBEsol-optimized structure of Li2CoMo.

Cell lengths 2.5010, 4.6488, 4.4433 Å; angles 90.00, 94.82, 90.00 degrees
Atoms (fractional coordinates):
1 Li 0.1866 0.0000 0.2582
2 Li 0.8134 0.0000 0.7418
3 Co 0.0000 0.5000 0.5000
4 Mo 0.5000 0.5000 0.0000

=====

Most stable structure, least stable structure: #2, #1.

=====

#1
A plane-wave DFT calculation with SCAN was carried out for a PBEsol-optimized structure of Li3CoNi.

Cell lengths 4.2613, 4.2613, 4.2613 Å; angles 90.00, 90.00, 90.00 degrees
Atoms (fractional coordinates):
1 Li 0.0000 0.0000 0.5000
2 Li 0.0000 0.5000 0.0000
3 Li 0.5000 0.0000 0.0000
4 Co 0.5000 0.5000 0.5000
5 Ni 0.0000 0.0000 0.0000

=====

#2
A plane-wave DFT calculation with SCAN was carried out for a PBEsol-optimized structure of Li3CoNi.

Cell lengths 4.3033, 4.3033, 4.3033 Å; angles 90.00, 90.00, 90.00 degrees
Atoms (fractional coordinates):
1 Li 0.0000 0.0000 0.5000
2 Li 0.0000 0.5000 0.0000
3 Li 0.5000 0.0000 0.0000
4 Co 0.0000 0.0000 0.0000
5 Ni 0.5000 0.5000 0.5000

=====

Most stable structure, least stable structure: #1, #2.

=====

#1
A plane-wave DFT calculation with SCAN was carried out for a PBEsol-optimized structure of Li3CoNi3O8.

Cell lengths 5.7141, 5.7141, 5.7141 Å; angles 59.20, 59.20, 59.20 degrees
Atoms (fractional coordinates):
1 Li 0.0000 0.5000 0.5000
2 Li 0.5000 0.0000 0.5000
3 Li 0.5000 0.5000 0.0000
4 Co 0.5000 0.5000 0.5000
5 Ni 0.0000 0.0000 0.5000
6 Ni 0.0000 0.5000 0.0000
7 Ni 0.5000 0.0000 0.0000
8 O 0.2391 0.2391 0.2391
9 O 0.2479 0.7318 0.7318
10 O 0.2682 0.2682 0.7521
11 O 0.2682 0.7521 0.2682
12 O 0.7318 0.2479 0.7318
13 O 0.7318 0.7318 0.2479
14 O 0.7521 0.2682 0.2682
15 O 0.7609 0.7609 0.7609

=====

#2
A plane-wave DFT calculation with SCAN was carried out for a PBEsol-optimized structure of Li3CoNi3O8.

Cell lengths 5.5948, 5.6863, 14.0371 Å; angles 89.44, 89.99, 60.55 degrees
Atoms (fractional coordinates):
1 Li 0.0000 0.0000 0.0000
2 Li 0.0000 0.5000 0.0000
3 Li 0.1668 0.1654 0.6673
4 Li 0.1672 0.6688 0.6667
5 Li 0.3359 0.3308 0.3334
6 Li 0.5000 0.0000 0.0000
7 Li 0.6641 0.6692 0.6666
8 Li 0.8328 0.3312 0.3333
9 Li 0.8332 0.8346 0.3327
10 Co 0.0000 0.5000 0.5000
11 Co 0.3333 0.8322 0.8366
12 Co 0.6667 0.1678 0.1634
13 Ni 0.0000 0.0000 0.5000
14 Ni 0.1681 0.1651 0.1693
15 Ni 0.1690 0.6663 0.1666
16 Ni 0.3342 0.3336 0.8335
17 Ni 0.5000 0.0000 0.5000
18 Ni 0.5000 0.5000 0.5000
19 Ni 0.6658 0.6664 0.1665
20 Ni 0.8310 0.3337 0.8334
21 Ni 0.8319 0.8349 0.8307
22 O 0.0013 0.4979 0.2383
23 O 0.0158 0.9841 0.7615
24 O 0.1482 0.6840 0.9062
25 O 0.1562 0.1846 0.4297
26 O 0.1683 0.6590 0.4295
27 O 0.1707 0.1586 0.9053
28 O 0.3263 0.8470 0.5734
29 O 0.3279 0.3385 0.5702
30 O 0.3286 0.8446 0.0994
31 O 0.3332 0.3169 0.0940
32 O 0.4895 0.5188 0.7662
33 O 0.5004 0.0169 0.2388
34 O 0.4996 0.9831 0.7612
35 O 0.5105 0.4812 0.2338
36 O 0.6668 0.6831 0.9060
37 O 0.6714 0.1554 0.9006
38 O 0.6721 0.6615 0.4298
39 O 0.6736 0.1530 0.4266
40 O 0.8293 0.8414 0.0947
41 O 0.8317 0.3410 0.5705
42 O 0.8438 0.8154 0.5703
43 O 0.8518 0.3160 0.0938
44 O 0.9842 0.0159 0.2385
45 O 0.9987 0.5021 0.7617

=====

Most stable structure, least stable structure: #2, #1.

=====

#1
A plane-wave DFT calculation with SCAN was carried out for a PBEsol-optimized structure of Li4Co3O7.

Cell lengths 14.0675, 14.0675, 5.6475 Å; angles 96.04, 96.04, 11.45 degrees
Atoms (fractional coordinates):
1 Li 0.0000 0.0000 0.0000
2 Li 0.0000 0.0000 0.5000
3 Li 0.1421 0.1421 0.5663
4 Li 0.2862 0.2862 0.1445
5 Li 0.4347 0.4347 0.7087
6 Li 0.5653 0.5653 0.2913
7 Li 0.7138 0.7138 0.8555
8 Li 0.8579 0.8579 0.4337
9 Co 0.1428 0.1428 0.0687
10 Co 0.2857 0.2857 0.6444
11 Co 0.4302 0.4302 0.2219
12 Co 0.5698 0.5698 0.7781
13 Co 0.7143 0.7143 0.3556
14 Co 0.8572 0.8572 0.9313
15 O 0.0724 0.0724 0.5597
16 O 0.0755 0.0755 0.0114
17 O 0.2114 0.2114 0.1269
18 O 0.2173 0.2173 0.5844
19 O 0.3534 0.3534 0.7042
20 O 0.3603 0.3603 0.1587
21 O 0.4942 0.4942 0.2448
22 O 0.5058 0.5058 0.7552
23 O 0.6397 0.6397 0.8413
24 O 0.6466 0.6466 0.2958
25 O 0.7827 0.7827 0.4156
26 O 0.7886 0.7886 0.8731
27 O 0.9245 0.9245 0.9886
28 O 0.9276 0.9276 0.4403

=====

#2
A plane-wave DFT calculation with SCAN was carried out for a PBEsol-optimized structure of Li4Co3O7.

Cell lengths 4.8611, 5.6391, 8.4493 Å; angles 90.41, 95.46, 106.78 degrees
Atoms (fractional coordinates):
1 Li 0.0000 0.0000 0.0000
2 Li 0.0000 0.5000 0.0000
3 Li 0.1404 0.2901 0.2763
4 Li 0.2858 0.5715 0.5720
5 Li 0.4183 0.8507 0.8628
6 Li 0.5817 0.1493 0.1372
7 Li 0.7142 0.4285 0.4280
8 Li 0.8596 0.7099 0.7237
9 Co 0.1422 0.7832 0.2827
10 Co 0.2856 0.0713 0.5722
11 Co 0.4295 0.3591 0.8596
12 Co 0.5705 0.6409 0.1404
13 Co 0.7144 0.9287 0.4278
14 Co 0.8578 0.2168 0.7173
15 O 0.0061 0.7764 0.4894
16 O 0.1437 0.5084 0.7827
17 O 0.1472 0.0594 0.7765
18 O 0.2980 0.8129 0.0899
19 O 0.3141 0.3386 0.0646
20 O 0.4214 0.0805 0.3690
21 O 0.4344 0.6308 0.3473
22 O 0.5656 0.3692 0.6527
23 O 0.5786 0.9195 0.6310
24 O 0.6859 0.6614 0.9354
25 O 0.7020 0.1871 0.9101
26 O 0.8528 0.9406 0.2235
27 O 0.8563 0.4916 0.2173
28 O 0.9939 0.2236 0.5106

=====

Most stable structure, least stable structure: #2, #1.

=====

#1
A plane-wave DFT calculation with SCAN was carried out for a PBEsol-optimized structure of LiCo4O8.

Cell lengths 9.5357, 9.5357, 9.5357 Å; angles 34.19, 34.19, 34.19 degrees
Atoms (fractional coordinates):
1 Li 0.2488 0.2488 0.2488
2 Li 0.7512 0.7512 0.7512
3 Co 0.0000 0.0000 0.0000
4 Co 0.2499 0.2499 0.7499
5 Co 0.2499 0.7499 0.2499
6 Co 0.2501 0.7501 0.7501
7 Co 0.5000 0.5000 0.5000
8 Co 0.7499 0.2499 0.2499
9 Co 0.7501 0.2501 0.7501
10 Co 0.7501 0.7501 0.2501
11 O 0.1045 0.1045 0.6581
12 O 0.1045 0.6581 0.1045
13 O 0.1174 0.1174 0.1174
14 O 0.1582 0.6045 0.6045
15 O 0.3419 0.8955 0.8955
16 O 0.3826 0.3826 0.3826
17 O 0.3955 0.3955 0.8418
18 O 0.3955 0.8418 0.3955
19 O 0.6045 0.1582 0.6045
20 O 0.6045 0.6045 0.1582
21 O 0.6174 0.6174 0.6174
22 O 0.6581 0.1045 0.1045
23 O 0.8418 0.3955 0.3955
24 O 0.8826 0.8826 0.8826
25 O 0.8955 0.3419 0.8955
26 O 0.8955 0.8955 0.3419

=====

#2
A plane-wave DFT calculation with SCAN was carried out for a PBEsol-optimized structure of LiCo4O8.

Cell lengths 5.5531, 5.5531, 5.7856 Å; angles 118.57, 118.57, 60.01 degrees
Atoms (fractional coordinates):
1 Li 0.0000 0.0000 0.0000
2 Co 0.0000 0.0000 0.5000
3 Co 0.0000 0.5000 0.5000
4 Co 0.5000 0.0000 0.5000
5 Co 0.5000 0.5000 0.5000
6 O 0.2302 0.7334 0.6975
7 O 0.2305 0.2305 0.6920
8 O 0.2666 0.2666 0.3025
9 O 0.2666 0.7698 0.3025
10 O 0.7334 0.2302 0.6975
11 O 0.7334 0.7334 0.6975
12 O 0.7695 0.7695 0.3080
13 O 0.7698 0.2666 0.3025

=====

Most stable structure, least stable structure: #2, #1.